No. 1
Here is LaNdTl2Pd4 after structural relaxation from the Open Quantum Materials Database. Energies are from PBE.

abc: 4.7336 4.7336 9.1321
angles: 90.00 90.00 120.00
With the nearest neighbours (Å) after each atom.
Space group P-6m2 (No. 187)
Symmetry-distinct sites (fractional):
La  0.0000  0.0000  0.0000 x1  8 Pd 3.10-3.12
Nd  0.3333  0.6667  0.5000 x1  8 Pd 3.07-3.10
Tl  0.6667  0.3333  0.2553 x2  6 Pd 2.84-2.86
Pd  0.0000  0.0000  0.3390 x2  3 Tl 2.84, 4 Pd 2.94-3.17, 1 La 3.10, 3 Nd 3.10
Pd  0.3333  0.6667  0.1638 x2  3 Tl 2.86, 4 Pd 2.99-3.17, 1 Nd 3.07, 3 La 3.12

Computed properties:
Raw total energy = -40.310 eV per cell

No. 2
Here is La2NdPt9 after structural relaxation from the Open Quantum Materials Database. Energies are from PBE.

abc: 5.4638 5.4638 26.9996
angles: 90.00 90.00 120.00
With the nearest neighbours (Å) after each atom.
Space group R-3m (No. 166, hexagonal axes)
Symmetry-distinct sites (fractional):
La  0.0000  0.0000  0.1393 x6  12 Pt 3.12-3.36, 3 La 3.48
Nd  0.0000  0.0000  0.0000 x3  6 Pt 3.15
Pt  0.0000  0.0000  0.3328 x6  6 Pt 2.74-2.78
Pt  0.0000  0.0000  0.5000 x3  6 Pt 2.75
Pt  0.0028  0.5014  0.9162 x18  7 Pt 2.71-2.78

Computed properties:
Raw total energy = -240.499 eV per cell
E_form = -921 meV/atom